YSe3, optimized geometry, DFT GGA-PBE; symmetry = Cmmm; E = -4.921 eV/atom; DOS at the Fermi energy = 5.7 states/eV/cell
1.0
5.872 0.000 0.000
0.000 7.309 0.000
0.000 0.000 4.239
Y Se
2 6
Cartesian
0.000 0.000 0.000
2.936 3.655 0.000
0.000 3.655 0.000
1.468 1.827 2.120
1.468 5.482 2.120
2.936 0.000 0.000
4.404 1.827 2.120
4.404 5.482 2.120